No. 1
Np2CuI8 | the Alexandria database | PBE-GGA | optimized geometry; uncorrected formation energy = -655 meV per atom; M_tot = 0.637 μB/atom
1.0
-2.462 -3.221 0.285
7.602 -5.305 5.709
-2.555 5.340 9.314
Np I Cu
2 8 1
direct
0.148 0.749 0.297
0.852 0.251 0.703
0.597 0.564 0.193
0.356 0.030 0.712
0.242 0.303 0.484
0.004 0.828 0.008
0.758 0.697 0.516
0.644 0.970 0.288
0.403 0.436 0.807
0.996 0.172 0.992
0.500 0.000 0.000

No. 2
NpCu2IO8 | the Alexandria database | PBE-GGA | optimized geometry; uncorrected formation energy = -989 meV per atom; M_tot = 0.095 μB/atom
1.0
5.764 0.546 0.000
-2.067 5.408 0.000
-1.848 -2.977 4.609
Np Cu I O
1 2 1 8
direct
0.000 0.000 0.000
0.750 0.250 0.500
0.500 0.500 0.000
0.250 0.750 0.500
0.347 0.039 0.309
0.295 0.484 0.189
0.295 0.106 0.811
0.730 0.039 0.691
0.894 0.705 0.189
0.961 0.270 0.309
0.961 0.653 0.691
0.516 0.705 0.811

No. 3
NpCuIO6 | the Alexandria database | PBE-GGA | optimized geometry; uncorrected formation energy = -1190 meV per atom; M_tot = 0.107 μB/atom
1.0
5.580 0.000 0.000
-2.790 4.832 0.000
0.000 0.000 9.117
Np Cu I O
2 2 2 12
direct
0.667 0.333 0.250
0.333 0.667 0.750
0.000 0.000 0.000
0.000 0.000 0.500
0.333 0.667 0.250
0.667 0.333 0.750
0.654 0.652 0.132
0.997 0.346 0.132
0.346 0.997 0.632
0.003 0.654 0.868
0.348 0.346 0.368
0.997 0.652 0.368
0.652 0.997 0.868
0.654 0.003 0.368
0.003 0.348 0.632
0.348 0.003 0.132
0.652 0.654 0.632
0.346 0.348 0.868